[1]
{
  "formula": "BeSb2TePb",
  "functional": "GGA-PBE",
  "state": "relaxed",
  "cell": [[-2.229, -2.936, 3.328], [4.310, -2.320, 0.840], [1.146, 3.536, 3.886]],
  "species": ["Pb", "Sb", "Sb", "Te", "Be"],
  "fractional_positions": [[0.500, 0.500, 0.500], [0.000, 0.500, 0.000], [0.500, 0.000, 0.000], [0.000, 0.000, 0.500], [0.000, 0.000, 0.000]],
  "sg": "P4/mmm, No. 123",
  "dft_energy_ry_per_atom": -0.255,
  "magnetic_moment_mub_per_fu": 0.0,
  "e_form_raw_ev_per_fu": 1.478
}



[2]
{
  "formula": "YTaF",
  "functional": "GGA-PBE",
  "state": "relaxed",
  "cell": [[-2.754, 2.287, -0.171], [-1.271, -1.300, 3.089], [9.337, 11.911, 8.853]],
  "species": ["Y", "Y", "Y", "Y", "F", "F", "F", "F", "Ta", "Ta", "Ta", "Ta"],
  "fractional_positions": [[0.000, 0.000, 0.405], [0.000, 0.000, 0.595], [0.500, 0.500, 0.905], [0.500, 0.500, 0.095], [0.000, 0.500, 0.000], [0.500, 0.000, 0.000], [0.500, 0.000, 0.500], [0.000, 0.500, 0.500], [0.000, 0.000, 0.221], [0.000, 0.000, 0.779], [0.500, 0.500, 0.721], [0.500, 0.500, 0.279]],
  "sg": "I4/mmm, No. 139",
  "dft_energy_ry_per_atom": -0.608,
  "magnetic_moment_mub_per_fu": 0.0,
  "e_form_raw_ev_per_fu": -4.616
}



[3]
{
  "formula": "HfP2OsO",
  "functional": "GGA-PBE",
  "state": "relaxed",
  "cell": [[-2.918, 3.676, 1.178], [-1.650, 0.147, -4.547], [-2.610, -2.351, 0.871]],
  "species": ["Hf", "Os", "O", "P", "P"],
  "fractional_positions": [[0.500, 0.500, 0.500], [0.000, 0.000, 0.000], [0.000, 0.000, 0.500], [0.000, 0.500, 0.000], [0.500, 0.000, 0.000]],
  "sg": "P4/mmm, No. 123",
  "dft_energy_ry_per_atom": -0.550,
  "magnetic_moment_mub_per_fu": 0.0,
  "e_form_raw_ev_per_fu": -0.433
}



[4]
{
  "formula": "Tl7Sn2Hg",
  "functional": "GGA-PBE",
  "state": "relaxed",
  "cell": [[-0.900, -1.193, -2.990], [5.865, 1.193, -2.242], [1.258, -13.724, 5.099]],
  "species": ["Tl", "Tl", "Tl", "Tl", "Tl", "Tl", "Tl", "Sn", "Sn", "Hg"],
  "fractional_positions": [[0.000, 0.800, 0.599], [0.000, 0.200, 0.401], [0.500, 0.654, 0.797], [0.500, 0.346, 0.203], [0.500, 0.856, 0.203], [0.500, 0.144, 0.797], [0.500, 0.500, 0.000], [0.500, 0.701, 0.402], [0.500, 0.299, 0.598], [0.000, 0.000, 0.000]],
  "sg": "Cmmm, No. 65",
  "dft_energy_ry_per_atom": -0.178,
  "magnetic_moment_mub_per_fu": 0.0,
  "formation_energy_mev_per_atom": 68
}



[5]
{
  "formula": "Ag6SnHg",
  "functional": "GGA-PBE",
  "state": "relaxed",
  "cell": [[4.838, 0.000, 0.000], [0.000, 5.965, -0.024], [0.000, -2.662, 5.338]],
  "species": ["Ag", "Ag", "Ag", "Ag", "Ag", "Ag", "Sn", "Hg"],
  "fractional_positions": [[0.000, 0.085, 0.410], [0.000, 0.590, 0.915], [0.000, 0.592, 0.408], [0.500, 0.416, 0.091], [0.500, 0.909, 0.584], [0.500, 0.907, 0.093], [0.000, 0.088, 0.912], [0.500, 0.413, 0.587]],
  "sg": "Amm2, No. 38",
  "dft_energy_ry_per_atom": -0.194,
  "magnetic_moment_mub_per_fu": 0.0,
  "formation_energy_mev_per_atom": 33
}



[6]
{
  "formula": "Pr3Nd4Cd",
  "functional": "GGA-PBE",
  "state": "relaxed",
  "cell": [[3.722, 0.000, 0.000], [0.000, 3.722, 0.000], [0.000, 0.000, 19.692]],
  "species": ["Pr", "Pr", "Pr", "Nd", "Nd", "Nd", "Nd", "Cd"],
  "fractional_positions": [[0.500, 0.500, 0.235], [0.500, 0.500, 0.500], [0.500, 0.500, 0.765], [0.000, 0.000, 0.895], [0.000, 0.000, 0.105], [0.000, 0.000, 0.368], [0.000, 0.000, 0.632], [0.500, 0.500, 0.000]],
  "sg": "P4/mmm, No. 123",
  "dft_energy_ry_per_atom": -0.320,
  "magnetic_moment_mub_per_fu": 0.0,
  "formation_energy_mev_per_atom": -70
}



[7]
{
  "formula": "PdBrF",
  "functional": "GGA-PBE",
  "state": "relaxed",
  "cell": [[-1.256, 8.912, 0.138], [-3.913, 1.370, 0.216], [0.896, 1.995, 3.528]],
  "species": ["Pd", "Pd", "Br", "Br", "F", "F"],
  "fractional_positions": [[0.461, 0.268, 0.955], [0.961, 0.268, 0.955], [0.211, 0.018, 0.204], [0.711, 0.518, 0.705], [0.961, 0.768, 0.955], [0.461, 0.268, 0.455]],
  "sg": "C2/c, No. 15",
  "dft_energy_ry_per_atom": -0.263,
  "magnetic_moment_mub_per_fu": 0.0,
  "e_form_raw_ev_per_fu": -1.994
}



[8]
{
  "formula": "Ce2GaSi",
  "functional": "GGA-PBE",
  "state": "relaxed",
  "cell": [[-3.254, -1.159, -2.353], [-0.473, -3.807, 2.530], [-2.845, 2.236, 2.833]],
  "species": ["Si", "Ga", "Ce", "Ce"],
  "fractional_positions": [[0.500, 0.000, 0.000], [0.500, 0.500, 0.500], [0.000, 0.000, 0.500], [0.000, 0.500, 0.000]],
  "sg": "P4/mmm, No. 123",
  "dft_energy_ry_per_atom": -0.411,
  "magnetic_moment_mub_per_fu": 0.0,
  "e_form_raw_ev_per_fu": -2.052
}



[9]
{
  "formula": "PmPuSbCl",
  "functional": "GGA-PBE",
  "state": "relaxed",
  "cell": [[5.317, 0.000, 0.000], [2.659, 4.605, 0.000], [2.659, 1.535, 4.342]],
  "species": ["Sb", "Pm", "Cl", "Pu"],
  "fractional_positions": [[0.000, 0.000, 0.000], [0.250, 0.250, 0.250], [0.500, 0.500, 0.500], [0.750, 0.750, 0.750]],
  "sg": "F-43m, No. 216",
  "dft_energy_ry_per_atom": -0.534,
  "magnetic_moment_mub_per_fu": 6.9,
  "e_form_raw_ev_per_fu": -3.986
}



[10]
{
  "formula": "Nd2Np2Pt15",
  "functional": "GGA-PBE",
  "state": "relaxed",
  "cell": [[7.093, 0.016, 0.014], [0.936, 7.031, 0.014], [0.936, 0.822, 6.983]],
  "species": ["Nd", "Nd", "Np", "Np", "Pt", "Pt", "Pt", "Pt", "Pt", "Pt", "Pt", "Pt", "Pt", "Pt", "Pt", "Pt", "Pt", "Pt", "Pt"],
  "fractional_positions": [[0.353, 0.353, 0.353], [0.647, 0.647, 0.647], [0.083, 0.083, 0.083], [0.917, 0.917, 0.917], [0.500, 0.000, 0.000], [0.000, 0.000, 0.500], [0.000, 0.500, 0.000], [0.000, 0.681, 0.319], [0.681, 0.319, 0.000], [0.319, 0.000, 0.681], [0.319, 0.681, 0.000], [0.681, 0.000, 0.319], [0.000, 0.319, 0.681], [0.160, 0.659, 0.659], [0.659, 0.659, 0.160], [0.659, 0.160, 0.659], [0.840, 0.341, 0.341], [0.341, 0.341, 0.840], [0.341, 0.840, 0.341]],
  "sg": "R-3m, No. 166",
  "dft_energy_ry_per_atom": -0.532,
  "magnetic_moment_mub_per_fu": 2.1,
  "formation_energy_mev_per_atom": -600
}



[11]
{
  "formula": "YPuSn",
  "functional": "GGA-PBE",
  "state": "relaxed",
  "cell": [[-0.518, -3.479, 2.003], [0.036, -2.024, -3.505], [5.257, 2.213, 1.113]],
  "species": ["Y", "Sn", "Pu"],
  "fractional_positions": [[0.631, 0.631, 0.263], [0.278, 0.278, 0.557], [0.940, 0.940, 0.880]],
  "sg": "I4mm, No. 107",
  "dft_energy_ry_per_atom": -0.628,
  "magnetic_moment_mub_per_fu": 7.0,
  "formation_energy_mev_per_atom": -276
}



[12]
{
  "formula": "LiAg8Pd2",
  "functional": "GGA-PBE",
  "state": "relaxed",
  "cell": [[-1.324, -2.110, 4.336], [4.231, -2.666, 5.493], [2.109, 5.105, 5.877]],
  "species": ["Li", "Ag", "Ag", "Ag", "Ag", "Ag", "Ag", "Ag", "Ag", "Pd", "Pd"],
  "fractional_positions": [[0.500, 0.000, 0.000], [0.767, 0.096, 0.296], [0.767, 0.392, 0.704], [0.309, 0.434, 0.000], [0.500, 0.817, 0.367], [0.500, 0.183, 0.633], [0.691, 0.566, 0.000], [0.233, 0.608, 0.296], [0.233, 0.904, 0.704], [0.000, 0.323, 0.354], [0.000, 0.677, 0.646]],
  "sg": "C2/m, No. 12",
  "dft_energy_ry_per_atom": -0.232,
  "magnetic_moment_mub_per_fu": 0.0,
  "formation_energy_mev_per_atom": 41
}